LaReSb2Te (GGA-PBE, relaxed); volume = 44.3 Å³/atom; SG = P4/mmm, No. 123; E_form (uncorrected) = 1.5031 eV per atom
1.0
6.0734 0.0000 0.0000
0.0000 6.0734 0.0000
0.0000 0.0000 6.0062
La Re Sb Te
1 1 2 1
direct
0.0000 0.0000 0.0000
0.5000 0.5000 0.5000
0.0000 0.5000 0.0000
0.5000 0.0000 0.0000
0.0000 0.0000 0.5000